<one>
KLa2BRh after structural relaxation, computed with PBE.

Total magnetization   0.0 μB per formula unit
Space group   P4/mmm

```
KLa2BRh
1.0
5.195 0.000 0.000
0.000 5.295 0.000
0.000 0.000 5.195
K La B Rh
1 2 1 1
Direct
0.000 0.500 0.000
0.500 0.000 0.000
0.000 0.000 0.500
0.000 0.000 0.000
0.500 0.500 0.500
```

---

<two>
KLa2BRh after structural relaxation, computed with PBE.

Total magnetization   0.0 μB per formula unit
Space group   P4/mmm

```
KLa2BRh
1.0
5.664 0.000 0.000
0.000 4.357 0.000
0.000 0.000 5.664
K La Rh B
1 2 1 1
Direct
0.500 0.500 0.500
0.500 0.000 0.000
0.000 0.000 0.500
0.000 0.000 0.000
0.000 0.500 0.000
```

---

Least stable: <one>

---

<one>
K2LiB2 after structural relaxation, computed with PBE.

Total magnetization   0.0 μB per formula unit
Space group   I4/mmm

```
K2LiB2
1.0
-1.893 -0.439 2.253
2.281 -0.680 1.785
1.200 10.882 5.093
K B Li
2 2 1
Direct
0.638 0.638 0.724
0.362 0.362 0.276
0.250 0.750 0.500
0.750 0.250 0.500
0.000 0.000 0.000
```

---

<two>
K2LiB2 after structural relaxation, computed with PBE.

Total magnetization   0.0 μB per formula unit
Space group   P4/mbm

```
K2LiB2
1.0
-0.338 1.852 8.677
0.416 -8.670 1.867
3.262 0.176 0.090
K B Li
4 4 2
Direct
0.706 0.206 0.000
0.206 0.294 0.000
0.294 0.794 0.000
0.794 0.706 0.000
0.436 0.064 0.500
0.064 0.564 0.500
0.936 0.436 0.500
0.564 0.936 0.500
0.500 0.500 0.000
0.000 0.000 0.000
```

---

Least stable: <one>

---

<one>
K2MgB after structural relaxation, computed with PBE.

Total magnetization   1.8 μB per formula unit
Space group   Fm-3m

```
K2MgB
1.0
0.000 4.037 4.037
4.037 0.000 4.037
4.037 4.037 0.000
Mg K B
1 2 1
Direct
0.500 0.500 0.500
0.750 0.750 0.750
0.250 0.250 0.250
0.000 0.000 0.000
```

---

<two>
K2MgB after structural relaxation, computed with PBE.

Total magnetization   1.0 μB per formula unit
Space group   I-42d

```
K2MgB
1.0
12.232 0.000 0.000
0.000 12.232 0.000
6.116 6.116 2.267
Mg K B
2 4 2
Direct
0.750 0.250 0.500
0.000 0.000 0.000
0.314 0.625 0.250
0.436 0.125 0.250
0.375 0.564 0.750
0.875 0.686 0.750
0.250 0.750 0.500
0.500 0.500 0.000
```

---

Least stable: <one>

---

<one>
KMg14B after structural relaxation, computed with PBE.

Total magnetization   0.0 μB per formula unit
Space group   Amm2

```
KMg14B
1.0
3.121 -5.928 0.000
3.121 5.928 0.000
0.000 0.000 10.092
Mg K B
14 1 1
Direct
0.172 0.828 0.263
0.172 0.828 0.737
0.653 0.819 0.257
0.824 0.684 0.000
0.181 0.347 0.257
0.323 0.677 0.000
0.819 0.683 0.500
0.181 0.347 0.743
0.832 0.168 0.000
0.653 0.819 0.743
0.316 0.176 0.000
0.317 0.181 0.500
0.661 0.339 0.767
0.661 0.339 0.233
0.813 0.187 0.500
0.419 0.581 0.500
```

---

<two>
KMg14B after structural relaxation, computed with PBE.

Total magnetization   0.0 μB per formula unit
Space group   P-6m2

```
KMg14B
1.0
3.244 -5.619 0.000
3.244 5.619 0.000
0.000 0.000 10.136
Mg B K
14 1 1
Direct
0.680 0.840 0.283
0.667 0.333 0.757
0.667 0.333 0.243
0.680 0.840 0.717
0.012 0.506 0.000
0.494 0.988 0.000
0.509 0.491 0.500
0.160 0.320 0.283
0.160 0.320 0.717
0.509 0.019 0.500
0.160 0.840 0.283
0.494 0.506 0.000
0.160 0.840 0.717
0.981 0.491 0.500
0.000 0.000 0.500
0.000 0.000 0.000
```

---

Least stable: <two>

---

<one>
KMg3B after structural relaxation, computed with PBE.

Total magnetization   0.0 μB per formula unit
Space group   Pm-3m

```
KMg3B
1.0
4.877 0.000 0.000
0.000 4.877 0.000
0.000 0.000 4.877
K B Mg
1 1 3
Direct
0.500 0.500 0.500
0.000 0.000 0.000
0.500 0.000 0.000
0.000 0.500 0.000
0.000 0.000 0.500
```

---

<two>
KMg3B after structural relaxation, computed with PBE.

Total magnetization   1.8 μB per formula unit
Space group   Pm-3m

```
KMg3B
1.0
-5.940 2.300 1.317
-2.629 -4.702 -3.646
-0.337 -3.862 5.223
Mg K B
3 1 1
Direct
0.500 0.000 0.000
0.000 0.000 0.500
0.000 0.500 0.000
0.000 0.000 0.000
0.500 0.500 0.500
```

---

Least stable: <two>

---

<one>
KMg14BO15 after structural relaxation, computed with PBE.

Total magnetization   0.0 μB per formula unit
Space group   Pmm2

```
KMg14BO15
1.0
-4.421 0.052 -0.693
-1.277 -2.739 7.945
-0.337 8.159 2.759
K Mg O B
1 14 15 1
Direct
0.000 0.036 0.000
0.500 0.996 0.749
0.500 0.748 0.000
0.500 0.501 0.731
0.000 0.755 0.758
0.000 0.995 0.500
0.500 0.258 0.000
0.000 0.755 0.242
0.000 0.487 0.000
0.000 0.251 0.722
0.500 0.749 0.500
0.000 0.251 0.278
0.500 0.996 0.251
0.500 0.249 0.500
0.500 0.501 0.269
0.000 0.732 0.500
0.500 0.990 0.500
0.500 0.499 0.000
0.000 0.992 0.727
0.500 0.252 0.252
0.000 0.719 0.000
0.000 0.507 0.336
0.500 0.745 0.250
0.500 0.508 0.500
0.000 0.227 0.500
0.000 0.507 0.664
0.000 0.992 0.273
0.500 0.745 0.750
0.500 0.252 0.748
0.500 0.994 0.000
0.000 0.561 0.500
```

---

<two>
KMg14BO15 after structural relaxation, computed with PBE.

Total magnetization   0.0 μB per formula unit
Space group   Pmm2

```
KMg14BO15
1.0
-0.992 4.299 -0.138
-6.358 -1.641 -5.415
-5.414 -1.034 6.669
Mg O K B
14 15 1 1
Direct
0.500 0.748 0.000
0.500 0.259 0.500
0.000 0.740 0.241
0.000 0.256 0.759
0.500 0.498 0.252
0.000 0.499 0.000
0.000 0.994 0.500
0.000 0.256 0.241
0.500 0.999 0.252
0.500 0.999 0.748
0.500 0.498 0.748
0.000 0.740 0.759
0.500 0.249 0.000
0.500 0.732 0.500
0.500 0.748 0.256
0.000 0.001 0.280
0.000 0.273 0.000
0.500 0.497 0.500
0.500 0.997 0.000
0.500 0.748 0.744
0.500 0.003 0.500
0.000 0.499 0.748
0.500 0.249 0.746
0.000 0.316 0.500
0.500 0.249 0.254
0.000 0.001 0.720
0.000 0.499 0.252
0.500 0.499 0.000
0.000 0.724 0.000
0.000 0.999 0.000
0.000 0.482 0.500
```

---

Least stable: <two>

---

<one>
KBMo3 after structural relaxation, computed with PBE.

Total magnetization   0.0 μB per formula unit
Space group   Pm-3m

```
KBMo3
1.0
4.406 0.000 0.000
0.000 4.406 0.000
0.000 0.000 4.406
Mo B K
3 1 1
Direct
0.000 0.500 0.000
0.000 0.000 0.500
0.500 0.000 0.000
0.000 0.000 0.000
0.500 0.500 0.500
```

---

<two>
KBMo3 after structural relaxation, computed with PBE.

Total magnetization   0.0 μB per formula unit
Space group   Pm-3m

```
KBMo3
1.0
4.436 0.000 0.000
0.000 4.436 0.000
0.000 0.000 4.436
Mo K B
3 1 1
Direct
0.000 0.000 0.500
0.000 0.500 0.000
0.500 0.000 0.000
0.000 0.000 0.000
0.500 0.500 0.500
```

---

Least stable: <two>

---

<one>
KB3Mo after structural relaxation, computed with PBE.

Total magnetization   0.0 μB per formula unit
Space group   Pm-3m

```
KB3Mo
1.0
-2.514 3.303 1.164
-3.454 -2.576 -0.150
0.581 -1.020 4.148
Mo K B
1 1 3
Direct
0.000 0.000 0.000
0.500 0.500 0.500
0.500 0.000 0.000
0.000 0.000 0.500
0.000 0.500 0.000
```

---

<two>
KB3Mo after structural relaxation, computed with PBE.

Total magnetization   1.8 μB per formula unit
Space group   Pm-3m

```
KB3Mo
1.0
-1.575 -1.539 3.522
-2.462 -2.520 -2.201
2.952 -2.922 0.043
B K Mo
3 1 1
Direct
0.000 0.500 0.000
0.000 0.000 0.500
0.500 0.000 0.000
0.000 0.000 0.000
0.500 0.500 0.500
```

---

Least stable: <two>

---

<one>
KB3N after structural relaxation, computed with PBE.

Total magnetization   0.0 μB per formula unit
Space group   Pm-3m

```
KB3N
1.0
4.979 0.000 0.000
0.000 4.979 0.000
0.000 0.000 4.979
K N B
1 1 3
Direct
0.000 0.000 0.000
0.500 0.500 0.500
0.500 0.000 0.000
0.000 0.000 0.500
0.000 0.500 0.000
```

---

<two>
KB3N after structural relaxation, computed with PBE.

Total magnetization   0.0 μB per formula unit
Space group   Pm-3m

```
KB3N
1.0
-3.006 1.101 2.403
1.710 -1.965 3.039
2.016 3.309 1.005
B K N
3 1 1
Direct
0.000 0.000 0.500
0.000 0.500 0.000
0.500 0.000 0.000
0.500 0.500 0.500
0.000 0.000 0.000
```

---

Least stable: <one>

---

<one>
KBTe2N after structural relaxation, computed with PBE.

Total magnetization   0.0 μB per formula unit
Space group   P4/mmm

```
KBTe2N
1.0
6.842 0.000 0.000
0.000 6.842 0.000
0.000 0.000 2.776
B K N Te
1 1 1 2
Direct
0.000 0.000 0.000
0.500 0.500 0.500
0.000 0.000 0.500
0.500 0.000 0.000
0.000 0.500 0.000
```

---

<two>
KBTe2N after structural relaxation, computed with PBE.

Total magnetization   0.0 μB per formula unit
Space group   P4/mmm

```
KBTe2N
1.0
6.034 0.000 0.000
0.000 6.034 0.000
0.000 0.000 4.457
N K B Te
1 1 1 2
Direct
0.000 0.000 0.500
0.000 0.000 0.000
0.500 0.500 0.500
0.000 0.500 0.000
0.500 0.000 0.000
```

---

Least stable: <two>

---

<one>
KBTeN2 after structural relaxation, computed with PBE.

Total magnetization   2.7 μB per formula unit
Space group   P4/mmm

```
KBTeN2
1.0
-1.318 3.907 -0.772
-2.735 -0.297 3.167
3.205 1.659 2.923
Te K N B
1 1 2 1
Direct
0.000 0.000 0.500
0.500 0.500 0.500
0.000 0.500 0.000
0.500 0.000 0.000
0.000 0.000 0.000
```

---

<two>
KBTeN2 after structural relaxation, computed with PBE.

Total magnetization   0.0 μB per formula unit
Space group   P4/mmm

```
KBTeN2
1.0
4.726 0.000 0.000
0.000 4.726 0.000
0.000 0.000 7.005
K N Te B
1 2 1 1
Direct
0.000 0.000 0.000
0.500 0.000 0.000
0.000 0.500 0.000
0.000 0.000 0.500
0.500 0.500 0.500
```

---

Least stable: <two>

---

<one>
KNb3B after structural relaxation, computed with PBE.

Total magnetization   0.0 μB per formula unit
Space group   Pm-3m

```
KNb3B
1.0
-2.829 -1.947 -3.056
-0.931 -3.357 3.001
-3.502 2.465 1.671
Nb B K
3 1 1
Direct
0.000 0.000 0.500
0.000 0.500 0.000
0.500 0.000 0.000
0.000 0.000 0.000
0.500 0.500 0.500
```

---

<two>
KNb3B after structural relaxation, computed with PBE.

Total magnetization   0.0 μB per formula unit
Space group   Pm-3m

```
KNb3B
1.0
4.526 0.000 0.000
0.000 4.526 0.000
0.000 0.000 4.526
Nb B K
3 1 1
Direct
0.000 0.500 0.000
0.000 0.000 0.500
0.500 0.000 0.000
0.500 0.500 0.500
0.000 0.000 0.000
```

---

Least stable: <two>